No. 1
This record from Alexandria describes a geometry-optimized CdBi3F structure. The functional is GGA-PBEsol.

Calculated total energy   -2.769 eV per atom
Total magnetic moment   0.0 μB per formula unit
Space group   Pm-3m, No. 221
Raw formation energy   0.427 eV per atom

a = 5.548 Å, b = 5.548 Å, c = 5.548 Å
α = 90.00°, β = 90.00°, γ = 90.00°
Fractional coordinates of all 5 atoms:
Cd 0.000 0.000 0.000
Bi 0.000 0.000 0.500
Bi 0.000 0.500 0.000
Bi 0.500 0.000 0.000
F 0.500 0.500 0.500



No. 2
This record from Alexandria describes a geometry-optimized CdBiF2 structure. The functional is GGA-PBEsol.

Calculated total energy   -3.620 eV per atom
Total magnetic moment   0.0 μB per formula unit
Space group   R-3m, No. 166
Raw formation energy   -1.286 eV per atom

a = 3.167 Å, b = 3.167 Å, c = 25.472 Å
α = 90.00°, β = 90.00°, γ = 120.00°
Fractional coordinates of all 12 atoms:
Cd 0.000 0.000 0.000
Cd 0.333 0.667 0.667
Cd 0.667 0.333 0.333
Bi 0.000 0.000 0.500
Bi 0.333 0.667 0.167
Bi 0.667 0.333 0.833
F 0.000 0.000 0.095
F 0.000 0.000 0.905
F 0.333 0.667 0.572
F 0.333 0.667 0.761
F 0.667 0.333 0.239
F 0.667 0.333 0.428



No. 3
This record from Alexandria describes a geometry-optimized Cd2BiRuF structure. The functional is GGA-PBEsol.

Calculated total energy   -2.870 eV per atom
Total magnetic moment   2.3 μB per formula unit
Space group   P4/mmm, No. 123
Raw formation energy   0.886 eV per atom

a = 5.626 Å, b = 5.626 Å, c = 5.140 Å
α = 90.00°, β = 90.00°, γ = 90.00°
Fractional coordinates of all 5 atoms:
Cd 0.000 0.500 0.000
Cd 0.500 0.000 0.000
Bi 0.000 0.000 0.000
Ru 0.000 0.000 0.500
F 0.500 0.500 0.500



No. 4
This record from Alexandria describes a geometry-optimized ZnCd2BiF structure. The functional is GGA-PBEsol.

Calculated total energy   -2.322 eV per atom
Total magnetic moment   0.0 μB per formula unit
Space group   P4/mmm, No. 123
Raw formation energy   -0.285 eV per atom

a = 4.838 Å, b = 4.838 Å, c = 4.497 Å
α = 90.00°, β = 90.00°, γ = 90.00°
Fractional coordinates of all 5 atoms:
Zn 0.000 0.000 0.000
Cd 0.000 0.500 0.500
Cd 0.500 0.000 0.500
Bi 0.500 0.500 0.000
F 0.000 0.000 0.500



No. 5
This record from Alexandria describes a geometry-optimized CdFe2Bi structure. The functional is GGA-PBEsol.

DFT formation energy   2.30 eV/f.u.
Calculated total energy   -5.277 eV per atom
Total magnetic moment   4.2 μB per formula unit
Space group   Fm-3m, No. 225

a = 6.407 Å, b = 6.407 Å, c = 6.407 Å
α = 90.00°, β = 90.00°, γ = 90.00°
Fractional coordinates of all 16 atoms:
Cd 0.000 0.000 0.000
Cd 0.000 0.500 0.500
Cd 0.500 0.000 0.500
Cd 0.500 0.500 0.000
Fe 0.250 0.250 0.250
Fe 0.250 0.250 0.750
Fe 0.250 0.750 0.250
Fe 0.250 0.750 0.750
Fe 0.750 0.250 0.250
Fe 0.750 0.250 0.750
Fe 0.750 0.750 0.250
Fe 0.750 0.750 0.750
Bi 0.000 0.000 0.500
Bi 0.000 0.500 0.000
Bi 0.500 0.000 0.000
Bi 0.500 0.500 0.500



No. 6
This record from Alexandria describes a geometry-optimized CdGa2Bi2 structure. The functional is GGA-PBEsol.

DFT formation energy   0.65 eV/f.u.
Calculated total energy   -3.160 eV per atom
Total magnetic moment   0.0 μB per formula unit
Space group   I4/mmm, No. 139

a = 4.077 Å, b = 4.077 Å, c = 15.399 Å
α = 90.00°, β = 90.00°, γ = 90.00°
Fractional coordinates of all 10 atoms:
Cd 0.000 0.000 0.000
Cd 0.500 0.500 0.500
Ga 0.000 0.500 0.250
Ga 0.000 0.500 0.750
Ga 0.500 0.000 0.250
Ga 0.500 0.000 0.750
Bi 0.000 0.000 0.388
Bi 0.000 0.000 0.612
Bi 0.500 0.500 0.112
Bi 0.500 0.500 0.888